(1)
Compound: KAu3
Source: Alexandria via LeMat-Bulk
Functional: GGA-PBEsol
Structure: relaxed

The value obtained for the polymorph energy (0 for the lowest one) is 265 meV per atom. The calculation puts the formation energy from the elements at 0.107 eV/atom.

It has space group Cmmm (No. 65), with a = 6.908 Å, b = 8.233 Å, c = 2.792 Å, α = 90.00°, β = 90.00° and γ = 90.00°. The asymmetric unit holds K at (0.000, 0.000, 0.000), Au at (0.000, 0.500, 0.000) and Au at (0.250, 0.250, 0.500).


(2)
Compound: K4Au
Source: Alexandria via LeMat-Bulk
Functional: GGA-PBEsol
Structure: relaxed

The value obtained for the polymorph energy (0 for the lowest one) is 24 meV per atom. The calculation puts the formation energy from the elements at -0.028 eV/atom.

It has space group Im-3m (No. 229), with a = 7.931 Å, b = 7.931 Å, c = 7.931 Å, α = 90.00°, β = 90.00° and γ = 90.00°. The asymmetric unit holds K at (0.250, 0.250, 0.250) and Au at (0.000, 0.000, 0.000).


(3)
Compound: K2Au3
Source: Alexandria via LeMat-Bulk
Functional: GGA-PBEsol
Structure: relaxed

The value obtained for the polymorph energy (0 for the lowest one) is 0 meV per atom. The calculation puts the formation energy from the elements at -0.253 eV/atom.

It has space group Immm (No. 71), with a = 4.823 Å, b = 5.435 Å, c = 9.958 Å, α = 90.00°, β = 90.00° and γ = 90.00°. The asymmetric unit holds K at (0.000, 0.000, 0.196), Au at (0.000, 0.254, 0.500) and Au at (0.000, 0.500, 0.000).


(4)
Compound: K4Au
Source: Alexandria via LeMat-Bulk
Functional: GGA-PBEsol
Structure: relaxed

The value obtained for the polymorph energy (0 for the lowest one) is 0 meV per atom. The calculation puts the formation energy from the elements at -0.051 eV/atom.

It has space group I4/m (No. 87), with a = 10.908 Å, b = 10.908 Å, c = 4.168 Å, α = 90.00°, β = 90.00° and γ = 90.00°. The asymmetric unit holds K at (0.054, 0.758, 0.000) and Au at (0.000, 0.000, 0.500).


(5)
Compound: K3Au2
Source: Alexandria via LeMat-Bulk
Functional: GGA-PBEsol
Structure: relaxed

The value obtained for the polymorph energy (0 for the lowest one) is 91 meV per atom. The calculation puts the formation energy from the elements at -0.036 eV/atom.

It has space group R-3m (No. 166, hexagonal axes), with a = 4.5641 Å, b = 4.5641 Å, c = 35.2062 Å, α = 90.00°, β = 90.00° and γ = 120.00°. The asymmetric unit holds K at (0.0000, 0.0000, 0.0000), K at (0.0000, 0.0000, 0.2246) and Au at (0.0000, 0.0000, 0.3898).


(6)
Compound: K5Au3
Source: Alexandria via LeMat-Bulk
Functional: GGA-PBEsol
Structure: relaxed

The value obtained for the polymorph energy (0 for the lowest one) is 0 meV per atom. The calculation puts the formation energy from the elements at -0.111 eV/atom.

It has space group P6_3/mcm (No. 193), with a = 9.6825 Å, b = 9.6825 Å, c = 6.7356 Å, α = 90.00°, β = 90.00° and γ = 120.00°. The asymmetric unit holds K at (0.0000, 0.2621, 0.2500), K at (0.3333, 0.6667, 0.0000) and Au at (0.0000, 0.3961, 0.7500).


(7)
Compound: K5Au3
Source: Alexandria via LeMat-Bulk
Functional: GGA-PBEsol
Structure: relaxed

The value obtained for the polymorph energy (0 for the lowest one) is 53 meV per atom. The calculation puts the formation energy from the elements at -0.058 eV/atom.

It has space group Cmmm (No. 65), with a = 8.681 Å, b = 11.012 Å, c = 5.457 Å, α = 90.00°, β = 90.00° and γ = 90.00°. The asymmetric unit holds K at (0.000, 0.000, 0.000), K at (0.201, 0.500, 0.500), K at (0.250, 0.250, 0.000), Au at (0.000, 0.205, 0.500) and Au at (0.000, 0.500, 0.000).


(8)
Compound: KAu3
Source: Alexandria via LeMat-Bulk
Functional: GGA-PBEsol
Structure: relaxed

The value obtained for the polymorph energy (0 for the lowest one) is 0 meV per atom. The calculation puts the formation energy from the elements at -0.158 eV/atom.

It has space group Cmmm (No. 65), with a = 4.757 Å, b = 8.127 Å, c = 5.850 Å, α = 90.00°, β = 90.00° and γ = 90.00°. The asymmetric unit holds K at (0.000, 0.000, 0.000), Au at (0.000, 0.168, 0.500) and Au at (0.000, 0.500, 0.500).


(9)
Compound: KLaAu
Source: Alexandria via LeMat-Bulk
Functional: GGA-PBEsol
Structure: relaxed

The value obtained for the polymorph energy (0 for the lowest one) is 0 meV per atom. The calculation puts the formation energy from the elements at -0.222 eV/atom.

It has space group I4mm (No. 107), with a = 3.806 Å, b = 3.806 Å, c = 14.850 Å, α = 90.00°, β = 90.00° and γ = 90.00°. The asymmetric unit holds K at (0.000, 0.000, 0.000), La at (0.000, 0.000, 0.749) and Au at (0.000, 0.000, 0.339).


(10)
Compound: KLaAu
Source: Alexandria via LeMat-Bulk
Functional: GGA-PBEsol
Structure: relaxed

The value obtained for the polymorph energy (0 for the lowest one) is 202 meV per atom. The calculation puts the formation energy from the elements at -0.019 eV/atom.

It has space group F-43m (No. 216), with a = 7.334 Å, b = 7.334 Å, c = 7.334 Å, α = 90.00°, β = 90.00° and γ = 90.00°. The asymmetric unit holds K at (0.000, 0.000, 0.000), La at (0.000, 0.000, 0.500) and Au at (0.250, 0.250, 0.250).


(11)
Compound: KLi2Au2
Source: Alexandria via LeMat-Bulk
Functional: GGA-PBEsol
Structure: relaxed

The value obtained for the polymorph energy (0 for the lowest one) is 0 meV per atom. The calculation puts the formation energy from the elements at -0.323 eV/atom.

It has space group P4/mbm (No. 127), with a = 8.121 Å, b = 8.121 Å, c = 2.894 Å, α = 90.00°, β = 90.00° and γ = 90.00°. The asymmetric unit holds K at (0.000, 0.000, 0.000), Li at (0.122, 0.378, 0.000) and Au at (0.164, 0.664, 0.500).


(12)
Compound: K2Li2Au
Source: Alexandria via LeMat-Bulk
Functional: GGA-PBEsol
Structure: relaxed

The calculation puts the formation energy from the elements at -0.032 eV/atom.

It has space group P4/mbm (No. 127), with a = 7.143 Å, b = 7.143 Å, c = 5.771 Å, α = 90.00°, β = 90.00° and γ = 90.00°. The asymmetric unit holds K at (0.195, 0.305, 0.000), Li at (0.159, 0.659, 0.500) and Au at (0.000, 0.000, 0.500).


(13)
Compound: KLiAu2
Source: Alexandria via LeMat-Bulk
Functional: GGA-PBEsol
Structure: relaxed

The value obtained for the polymorph energy (0 for the lowest one) is 0 meV per atom. The calculation puts the formation energy from the elements at -0.289 eV/atom.

It has space group R-3m (No. 166, hexagonal axes), with a = 4.5597 Å, b = 4.5597 Å, c = 17.2406 Å, α = 90.00°, β = 90.00° and γ = 120.00°. The asymmetric unit holds K at (0.0000, 0.0000, 0.0000), Li at (0.0000, 0.0000, 0.5000) and Au at (0.0000, 0.0000, 0.1911).


(14)
Compound: KLiAu2
Source: Alexandria via LeMat-Bulk
Functional: GGA-PBEsol
Structure: relaxed

The value obtained for the polymorph energy (0 for the lowest one) is 183 meV per atom. The calculation puts the formation energy from the elements at -0.106 eV/atom.

It has space group Imm2 (No. 44), with a = 3.849 Å, b = 4.965 Å, c = 9.039 Å, α = 90.00°, β = 90.00° and γ = 90.00°. The asymmetric unit holds K at (0.000, 0.000, 0.000), Li at (0.000, 0.500, 0.783), Au at (0.000, 0.000, 0.485) and Au at (0.000, 0.500, 0.221).


(15)
Compound: KLi3Au
Source: Alexandria via LeMat-Bulk
Functional: GGA-PBEsol
Structure: relaxed

The calculation puts the formation energy from the elements at -0.124 eV/atom.

It has space group Pm-3m (No. 221), with a = 5.101 Å, b = 5.101 Å, c = 5.101 Å, α = 90.00°, β = 90.00° and γ = 90.00°. The asymmetric unit holds K at (0.000, 0.000, 0.000), Li at (0.000, 0.500, 0.500) and Au at (0.500, 0.500, 0.500).


(16)
Compound: K2LiAu
Source: Alexandria via LeMat-Bulk
Functional: GGA-PBEsol
Structure: relaxed

The calculation puts the formation energy from the elements at -0.137 eV/atom.

It has space group Cm (No. 8), with a = 7.882 Å, b = 4.538 Å, c = 8.728 Å, α = 90.00°, β = 106.23° and γ = 90.00°. The asymmetric unit holds K at (0.000, 0.000, 0.000), K at (0.169, 0.000, 0.543), Li at (0.418, 0.000, 0.271) and Au at (0.251, 0.500, 0.272).


(17)
Compound: KLi2Au2
Source: Alexandria via LeMat-Bulk
Functional: GGA-PBEsol
Structure: relaxed

The value obtained for the polymorph energy (0 for the lowest one) is 35 meV per atom. The calculation puts the formation energy from the elements at -0.288 eV/atom.

It has space group I4/mmm (No. 139), with a = 4.417 Å, b = 4.417 Å, c = 11.321 Å, α = 90.00°, β = 90.00° and γ = 90.00°. The asymmetric unit holds K at (0.000, 0.000, 0.000), Li at (0.000, 0.500, 0.250) and Au at (0.000, 0.000, 0.379).


(18)
Compound: KLiPd2Au
Source: Alexandria via LeMat-Bulk
Functional: GGA-PBEsol
Structure: relaxed

The calculation puts the formation energy from the elements at 0.239 eV/atom.

It has space group P4/mmm (No. 123), with a = 4.485 Å, b = 4.485 Å, c = 4.589 Å, α = 90.00°, β = 90.00° and γ = 90.00°. The asymmetric unit holds K at (0.000, 0.000, 0.000), Li at (0.500, 0.500, 0.500), Pd at (0.000, 0.500, 0.500) and Au at (0.500, 0.500, 0.000).


(19)
Compound: K2LiRuAu
Source: Alexandria via LeMat-Bulk
Functional: GGA-PBEsol
Structure: relaxed

The calculation puts the formation energy from the elements at 0.869 eV/atom.

It has space group P4/mmm (No. 123), with a = 6.066 Å, b = 6.066 Å, c = 5.012 Å, α = 90.00°, β = 90.00° and γ = 90.00°. The asymmetric unit holds K at (0.000, 0.500, 0.000), Li at (0.000, 0.000, 0.500), Ru at (0.500, 0.500, 0.500) and Au at (0.500, 0.500, 0.000).


(20)
Compound: KMgAu2
Source: Alexandria via LeMat-Bulk
Functional: GGA-PBEsol
Structure: relaxed

The calculation puts the formation energy from the elements at -0.326 eV/atom.

It has space group R-3m (No. 166, hexagonal axes), with a = 4.6829 Å, b = 4.6829 Å, c = 17.3886 Å, α = 90.00°, β = 90.00° and γ = 120.00°. The asymmetric unit holds K at (0.0000, 0.0000, 0.0000), Mg at (0.0000, 0.0000, 0.5000) and Au at (0.0000, 0.0000, 0.1883).


no.,electronic total energy (eV per atom),M_tot (μB per cell)
1,-3.1195,0.00
2,-1.7192,0.00
3,-3.0607,0.00
4,-1.7428,0.00
5,-2.2852,0.00
6,-2.2908,0.00
7,-2.2379,0.00
8,-3.3847,0.00
9,-3.6894,0.00
10,-3.4872,0.01
11,-2.9061,0.00
12,-2.0569,0.00
13,-3.0263,0.00
14,-2.8430,0.00
15,-2.3155,0.00
16,-2.1766,0.00
17,-2.8711,0.00
18,-3.5498,0.00
19,-2.7966,2.18
20,-3.0008,0.00